Entry 1:
This record from Alexandria via LeMat-Bulk describes a geometry-optimized PaFeSbPd structure. The functional is GGA-PBE.

a b c (Å): 4.7692 4.7692 4.7692
angles (deg): 60.00 60.00 60.00
With the nearest neighbours (Å) after each atom.
Fractional coordinates of all 4 atoms:
Pa 0.0000 0.0000 0.0000  4 Fe 2.92, 4 Pd 2.92
Fe 0.7500 0.7500 0.7500  4 Pa 2.92, 4 Sb 2.92
Sb 0.5000 0.5000 0.5000  4 Fe 2.92, 4 Pd 2.92
Pd 0.2500 0.2500 0.2500  4 Sb 2.92, 4 Pa 2.92

## Properties
Total DFT energy (no corrections) ... -7.058 eV per atom

***

Entry 2:
This record from Alexandria via LeMat-Bulk describes a geometry-optimized ScPaFePd structure. The functional is GGA-PBE.

a b c (Å): 4.7364 4.7364 4.7364
angles (deg): 60.00 60.00 60.00
With the nearest neighbours (Å) after each atom.
Fractional coordinates of all 4 atoms:
Sc 0.0000 0.0000 0.0000  4 Fe 2.90, 4 Pd 2.90
Pa 0.5000 0.5000 0.5000  4 Pd 2.90, 4 Fe 2.90
Fe 0.7500 0.7500 0.7500  4 Pa 2.90, 4 Sc 2.90
Pd 0.2500 0.2500 0.2500  4 Pa 2.90, 4 Sc 2.90

## Properties
Formation energy ... -256 meV per atom